Entry 1:
Entry from Alexandria via LeMat-Bulk: a crystal of Zn2OsRu relaxed with PBEsol (SCAN).

a = 2.6448 Å, b = 4.3275 Å, c = 4.7868 Å
α = 90.00°, β = 94.42°, γ = 90.00°
Fractional coordinates of all 4 atoms:
1 Os 0.5000 0.5000 0.0000
2 Zn 0.7499 0.0000 0.7474
3 Ru 0.0000 0.5000 0.5000
4 Zn 0.2501 0.0000 0.2526

Properties
As for the energy relative to the lowest polymorph listed for this composition: 76.8 meV per atom. Its space group is P2/m (10).

=====

Entry 2:
Entry from Alexandria via LeMat-Bulk: a crystal of ErInNi4 relaxed with PBEsol (SCAN).

a = 4.8835 Å, b = 4.8835 Å, c = 4.8835 Å
α = 60.00°, β = 60.00°, γ = 60.00°
Fractional coordinates of all 6 atoms:
1 Ni 0.3742 0.3742 0.8773
2 Er 0.7500 0.7500 0.7500
3 Ni 0.3742 0.8773 0.3742
4 In 0.0000 0.0000 0.0000
5 Ni 0.3742 0.3742 0.3742
6 Ni 0.8773 0.3742 0.3742

Properties
Its space group is F-43m (216).

=====

Entry 3:
Entry from Alexandria via LeMat-Bulk: a crystal of BaFeIr2 relaxed with PBEsol (SCAN).

a = 2.9515 Å, b = 4.2045 Å, c = 6.5211 Å
α = 90.00°, β = 103.08°, γ = 90.00°
Fractional coordinates of all 4 atoms:
1 Fe 0.2733 0.5000 0.5466
2 Ba 0.9334 0.0000 0.8668
3 Ir 0.6163 0.5000 0.2326
4 Ir 0.1776 0.0000 0.3551

Properties
Its space group is Amm2 (38).

=====

Entry 4:
Entry from Alexandria via LeMat-Bulk: a crystal of K2CaMo relaxed with PBEsol (SCAN).

a = 5.9668 Å, b = 5.9668 Å, c = 5.9668 Å
α = 60.00°, β = 60.00°, γ = 60.00°
Fractional coordinates of all 4 atoms:
1 Ca 0.5000 0.5000 0.5000
2 K 0.7500 0.7500 0.7500
3 K 0.0000 0.0000 0.0000
4 Mo 0.2500 0.2500 0.2500

Properties
As for the energy relative to the lowest polymorph listed for this composition: 141.8 meV per atom. Its space group is F-43m (216).

=====

Entry 5:
Entry from Alexandria via LeMat-Bulk: a crystal of ZnRh5 relaxed with PBEsol (SCAN).

a = 2.6940 Å, b = 4.3115 Å, c = 7.0610 Å
α = 90.00°, β = 101.00°, γ = 90.00°
Fractional coordinates of all 6 atoms:
1 Zn 0.1117 0.5000 0.2235
2 Rh 0.3320 0.0000 0.6639
3 Rh 0.0004 0.0000 0.0009
4 Rh 0.7777 0.5000 0.5554
5 Rh 0.6657 0.0000 0.3314
6 Rh 0.4458 0.5000 0.8916

Properties
Its space group is Amm2 (38).

=====

Entry 6:
Entry from Alexandria via LeMat-Bulk: a crystal of HgRhCl2 relaxed with PBEsol (SCAN).

a = 3.7313 Å, b = 3.7313 Å, c = 5.8731 Å
α = 108.52°, β = 108.52°, γ = 90.00°
Fractional coordinates of all 4 atoms:
1 Cl 0.7500 0.2500 0.5000
2 Cl 0.0000 0.0000 0.0000
3 Rh 0.2500 0.7500 0.5000
4 Hg 0.5000 0.5000 0.0000

Properties
As for the energy relative to the lowest polymorph listed for this composition: 207.9 meV per atom. Its space group is I-4m2 (119). The calculation puts the formation energy from raw total energies at 0.241 eV per atom.

=====

Entry 7:
Entry from Alexandria via LeMat-Bulk: a crystal of Ta2BeCr relaxed with PBEsol (SCAN).

a = 3.0092 Å, b = 3.0092 Å, c = 7.5026 Å
α = 78.43°, β = 78.43°, γ = 60.00°
Fractional coordinates of all 4 atoms:
1 Cr 0.7617 0.7617 0.7148
2 Ta 0.0102 0.0102 0.9695
3 Ta 0.2371 0.2371 0.2886
4 Be 0.4910 0.4910 0.5271

Properties
Its space group is R3m (160).

=====

Entry 8:
Entry from Alexandria via LeMat-Bulk: a crystal of AcMgHg2 relaxed with PBEsol (SCAN).

a = 5.3052 Å, b = 5.3052 Å, c = 5.3052 Å
α = 60.00°, β = 60.00°, γ = 60.00°
Fractional coordinates of all 4 atoms:
1 Mg 0.0000 0.0000 0.0000
2 Ac 0.5000 0.5000 0.5000
3 Hg 0.7500 0.7500 0.7500
4 Hg 0.2500 0.2500 0.2500

Properties
Its space group is Fm-3m (225).

=====

no.,DFT total energy (eV per atom)
1,-33.23
2,-25.14
3,-49.57
4,-14.24
5,-30.44
6,-29.23
7,-38.60
8,-58.54